VASP calculation (PBE-GGA) on a relaxed TbPm2Pr crystal.

Cell lengths 5.796, 5.796, 5.796 Å; angles 60.00, 60.00, 60.00 degrees
Sites, in units of the cell vectors:
Tb 0.000 0.000 0.000
Pm 0.250 0.250 0.250
Pm 0.750 0.750 0.750
Pr 0.500 0.500 0.500

**Excess energy over the best structure of this formula in the dataset**: 0.51 eV/f.u.
**V**: 138 Å³ per cell
**DFT formation energy**: 143 meV per atom